The following is a DFT calculation (GGA-PBEsol) of TlCoSi2Se after structural relaxation.

a b c (Å): 5.037 5.037 5.331
angles (deg): 90.00 90.00 90.00
Site moments in Bohr magnetons follow the coordinates.
Fractional coordinates of all 5 atoms:
Tl  0.000  0.000  0.000  0.00
Co  0.500  0.500  0.500  2.14
Si  0.000  0.500  0.000  -0.04
Si  0.500  0.000  0.000  -0.04
Se  0.000  0.000  0.500  0.00

Properties
The calculation puts the formation energy (no corrections) at 9.03 eV/f.u. The size of the total moment comes out at 1.95 Bohr magnetons per cell.